Ho3Te2N: relaxed, GGA-PBE.

Lattice parameters (Å, degrees): 7.4169 7.4169 7.5101 104.63 104.63 46.16
Last column: nearest neighbours and their distance in Å.
Positions (direct):
Ho  0.0414  0.9586  0.7500  1 N 2.48
Ho  0.3820  0.3816  0.4407  2 N 2.44
Ho  0.3816  0.3820  0.9407  2 N 2.44
Ho  0.6184  0.6180  0.0593  2 N 2.44
Ho  0.6180  0.6184  0.5593  2 N 2.44
Ho  0.9586  0.0414  0.2500  1 N 2.48
Te  0.1816  0.1826  0.5911  6 Ho 3.02-3.22
Te  0.1826  0.1816  0.0911  6 Ho 3.02-3.22
Te  0.8174  0.8184  0.9089  6 Ho 3.02-3.22
Te  0.8184  0.8174  0.4089  6 Ho 3.02-3.22
N  0.4683  0.5317  0.7500  5 Ho 2.44-2.48
N  0.5317  0.4683  0.2500  5 Ho 2.44-2.48

Results
Raw total energy = -5.9767 eV/atom
Calculated volume = 286.5 Å³ per cell
Crystal system = monoclinic